DFT (PBE) results for crystalline Ir7Se6 at its relaxed geometry.

```
Ir7Se6
1.0
10.622 -0.065 -0.039
9.240 5.241 -0.039
9.240 2.408 4.655
Se Ir
6 7
direct
0.819 0.819 0.819
0.181 0.181 0.181
0.638 0.638 0.638
0.922 0.922 0.922
0.078 0.078 0.078
0.362 0.362 0.362
0.412 0.412 0.898
0.412 0.898 0.412
0.588 0.588 0.102
0.102 0.588 0.588
0.898 0.412 0.412
0.500 0.500 0.500
0.588 0.102 0.588
```

Its crystal system is trigonal. For the formation energy without anion corrections, the calculation gives 0.333 eV/atom. The calculated volume comes out at 20.31 A^3/atom. The calculated total energy is -78.60 eV per formula unit.


DFT (PBE) results for crystalline K4Tl5Pt3 at its relaxed geometry.

```
K4Tl5Pt3
1.0
5.117 0.000 0.000
-2.558 9.153 -2.756
0.000 0.896 8.055
K Pt Tl
4 3 5
direct
0.901 0.802 0.090
0.825 0.650 0.520
0.099 0.198 0.910
0.175 0.350 0.480
0.700 0.399 0.170
0.500 0.000 0.500
0.300 0.601 0.830
0.442 0.885 0.793
0.732 0.464 0.844
0.268 0.536 0.156
0.000 0.000 0.500
0.558 0.115 0.207
```

Its crystal system is monoclinic. The calculated volume comes out at 32.49 A^3/atom. The calculated total energy is -35.68 eV per formula unit. The energy relative to the elements is -0.11 eV/atom.


DFT (PBE) results for crystalline SrScB at its relaxed geometry.

```
SrScB
1.0
4.716 -0.010 0.016
-1.217 10.295 0.038
1.420 -1.196 3.196
Sr B Sc
2 2 2
direct
0.227 0.426 0.452
0.696 0.081 0.391
0.824 0.815 0.553
0.099 0.693 0.291
0.677 0.667 0.975
0.245 0.841 0.868
```

Its crystal system is triclinic. The calculation puts the excess energy over the best structure of this formula in the dataset at 103 meV per atom. The calculated volume comes out at 25.85 A^3/atom. The calculated total energy is -14.79 eV per formula unit. The energy relative to the elements is -0.03 eV/atom.


DFT (PBE) results for crystalline LaCuSn at its relaxed geometry.

```
LaCuSn
1.0
8.548 -0.001 0.000
1.300 4.537 0.000
0.000 2.453 4.030
Cu Sn La
2 2 2
direct
0.365 0.577 0.014
0.074 0.103 0.251
0.979 0.834 0.886
0.461 0.847 0.380
0.720 0.340 0.133
0.220 0.340 0.633
```

Its crystal system is trigonal. The calculated volume comes out at 26.05 A^3/atom. The calculated total energy is -14.66 eV per formula unit. The energy relative to the elements is -0.55 eV/atom.


DFT (PBE) results for crystalline MoRuSe4 at its relaxed geometry.

```
MoRuSe4
1.0
-0.473 -1.690 5.227
-3.271 2.734 3.496
-4.701 -2.293 1.741
Se Ru Mo
4 1 1
direct
0.375 0.875 0.375
0.375 0.375 0.375
0.375 0.375 0.875
0.875 0.375 0.375
0.000 0.000 0.000
0.750 0.750 0.750
```

Its crystal system is cubic. For the formation energy without anion corrections, the calculation gives 1.368 eV/atom. The calculated volume comes out at 19.75 A^3/atom. The calculated total energy is -25.84 eV per formula unit.


DFT (PBE) results for crystalline Th2PaMo at its relaxed geometry.

```
Th2PaMo
1.0
-1.754 2.293 -1.703
-3.350 -0.093 0.026
-1.810 7.153 8.194
Th Mo Pa
2 1 1
direct
0.903 0.903 0.290
0.097 0.097 0.710
0.500 0.500 0.500
0.000 0.000 0.000
```

Its crystal system is trigonal. The calculated volume comes out at 26.40 A^3/atom. The calculated total energy is -32.93 eV per formula unit. The energy relative to the elements is 0.56 eV/atom.


Q: Which of these has the lowest calculated total energy?
A: Ir7Se6